[1]
Pu2UCo (GGA-PBE, optimized geometry); total magnetization = 9.4 μB/f.u.; energy above the lowest structure with this stoichiometry = 0.000 eV/atom; crystal system = tetragonal; ΔH_f (0 K) = 0.125 eV/atom; raw total energy = -11.640 eV/atom; SG = P4/mmm
1.0
3.3549 0.0000 0.0000
0.0000 3.3549 0.0000
0.0000 0.0000 6.7637
Pu U Co
2 1 1
Direct
0.0000 0.0000 0.2252 Pu
0.0000 0.0000 0.7748 Pu
0.5000 0.5000 0.5000 U
0.5000 0.5000 0.0000 Co


[2]
Pu2UCo9 (GGA-PBE, optimized geometry); total magnetization = 2.6 μB/f.u.; crystal system = trigonal; ΔH_f (0 K) = -0.130 eV/atom; raw total energy = -8.789 eV/atom; SG = R-3m
1.0
2.4303 1.4031 8.1812
-2.4303 1.4031 8.1812
0.0000 -2.8063 8.1812
Pu U Co
2 1 9
Direct
0.1394 0.1394 0.1394 Pu
0.8606 0.8606 0.8606 Pu
0.0000 0.0000 0.0000 U
0.0806 0.5824 0.5824 Co
0.3338 0.3338 0.3338 Co
0.4176 0.4176 0.9194 Co
0.4176 0.9194 0.4176 Co
0.5000 0.5000 0.5000 Co
0.5824 0.0806 0.5824 Co
0.5824 0.5824 0.0806 Co
0.6662 0.6662 0.6662 Co
0.9194 0.4176 0.4176 Co


[3]
PuUZnCo (GGA-PBE, optimized geometry); total magnetization = 7.0 μB/f.u.; crystal system = cubic; ΔH_f (0 K) = -0.004 eV/atom; raw total energy = -8.504 eV/atom; SG = F-43m
1.0
0.0000 3.2546 3.2546
3.2546 0.0000 3.2546
3.2546 3.2546 0.0000
Pu U Zn Co
1 1 1 1
Direct
0.0000 0.0000 0.0000 Pu
0.7500 0.7500 0.7500 U
0.2500 0.2500 0.2500 Zn
0.5000 0.5000 0.5000 Co